No. 1
VASP calculation (PBE) on a relaxed CdGe3S crystal.

Results
crystal system	cubic
energy above the lowest structure with this stoichiometry	465	meV per atom
E	-2.81	eV/atom
E_form (uncorrected)	965	meV per atom

abc: 5.138 5.138 5.138
angles: 90.00 90.00 90.00
Fractional coordinates of all 5 atoms:
Cd: 0.000 0.000 0.000
Ge: 0.000 0.000 0.500
Ge: 0.000 0.500 0.000
Ge: 0.500 0.000 0.000
S: 0.500 0.500 0.500


No. 2
VASP calculation (PBE) on a relaxed UFeRuRh crystal.

Results
crystal system	orthorhombic
E	-9.44	eV/atom
formation enthalpy at 0 K	-0.34	eV per atom

abc: 3.836 3.968 4.112
angles: 90.00 90.00 90.00
Fractional coordinates of all 4 atoms:
U: 0.000 0.000 0.000
Fe: 0.000 0.500 0.500
Ru: 0.500 0.500 0.000
Rh: 0.500 0.000 0.500


No. 3
VASP calculation (PBE) on a relaxed Cd3AsPd6 crystal.

Results
crystal system	orthorhombic
E	-4.13	eV/atom
formation enthalpy at 0 K	-0.27	eV per atom

abc: 8.863 8.863 4.608
angles: 90.00 90.00 101.31
Fractional coordinates of all 20 atoms:
Cd: 0.120 0.880 0.500
Cd: 0.172 0.370 0.988
Cd: 0.370 0.172 0.488
Cd: 0.630 0.828 0.988
Cd: 0.828 0.630 0.488
Cd: 0.880 0.120 0.000
As: 0.374 0.626 0.662
As: 0.626 0.374 0.162
Pd: 0.064 0.198 0.495
Pd: 0.111 0.539 0.478
Pd: 0.198 0.064 0.995
Pd: 0.243 0.757 0.009
Pd: 0.442 0.558 0.178
Pd: 0.461 0.889 0.478
Pd: 0.539 0.111 0.978
Pd: 0.558 0.442 0.678
Pd: 0.757 0.243 0.509
Pd: 0.802 0.936 0.495
Pd: 0.889 0.461 0.978
Pd: 0.936 0.802 0.995


No. 4
VASP calculation (PBE) on a relaxed PRu3 crystal.

Results
crystal system	orthorhombic
energy above the lowest structure with this stoichiometry	316	meV per atom
E	-8.16	eV/atom
formation enthalpy at 0 K	0.15	eV per atom

abc: 4.471 4.471 2.779
angles: 90.00 90.00 103.29
Fractional coordinates of all 4 atoms:
P: 0.000 0.000 0.000
Ru: 0.000 0.500 0.500
Ru: 0.500 0.000 0.500
Ru: 0.500 0.500 0.000